Record 1
Entry from Alexandria via LeMat-Bulk: KSi2Hg after structural relaxation (PBE-GGA).

Its uncorrected formation energy is 0.297 eV/atom.

It has space group I4_1/amd (No. 141, origin choice 2), with a = 4.914 Å, b = 4.914 Å, c = 19.134 Å, α = 90.00°, β = 90.00° and γ = 90.00°. The inequivalent atoms are K at (0.000, 0.250, 0.375), Si at (0.000, 0.000, 0.000) and Hg at (0.000, 0.250, 0.875).

Record 2
Entry from Alexandria via LeMat-Bulk: BaMnRh after structural relaxation (PBE-GGA).

Its calculated total energy is -6.044 eV per atom.

It has space group Cm (No. 8), with a = 12.335 Å, b = 4.140 Å, c = 8.139 Å, α = 90.00°, β = 130.70° and γ = 90.00°. The inequivalent atoms are Ba at (0.000, 0.000, 0.000), Ba at (0.122, 0.000, 0.673), Mn at (0.316, 0.000, 0.480), Mn at (0.404, 0.000, 0.236), Rh at (0.170, 0.500, 0.428) and Rh at (0.295, 0.500, 0.248).

Record 3
Entry from Alexandria via LeMat-Bulk: K3PaBr8 after structural relaxation (PBE-GGA).

Its uncorrected formation energy is -1.510 eV/atom.

It has space group Pm-3m (No. 221), with a = 7.570 Å, b = 7.570 Å, c = 7.570 Å, α = 90.00°, β = 90.00° and γ = 90.00°. The inequivalent atoms are K at (0.000, 0.000, 0.500), Pa at (0.500, 0.500, 0.500) and Br at (0.277, 0.277, 0.277).

Record 4
Entry from Alexandria via LeMat-Bulk: Ho3BiSN after structural relaxation (PBE-GGA).

Its uncorrected formation energy is -1.362 eV/atom.

It has space group P2_1/m (No. 11), with a = 8.459 Å, b = 4.059 Å, c = 9.083 Å, α = 90.00°, β = 102.80° and γ = 90.00°. The inequivalent atoms are Ho at (0.070, 0.250, 0.348), Ho at (0.340, 0.250, 0.983), Ho at (0.386, 0.750, 0.658), Bi at (0.316, 0.750, 0.280), S at (0.154, 0.250, 0.652) and N at (0.403, 0.750, 0.897).

What is the formula in the fourth record?
Ho3BiSN